[1]
The following is a DFT calculation (PBE-GGA) of a relaxed structure of NaPmPdPt.

The formation enthalpy at 0 K comes out at -0.595 eV/atom.

CIF file:
```
data_NaPmPdPt
_symmetry_space_group_name_H-M 'F -4 3 m'
_symmetry_Int_Tables_number 216
_symmetry_space_group_name_Hall 'F -4 2 3'
_cell_length_a 6.943
_cell_length_b 6.943
_cell_length_c 6.943
_cell_angle_alpha 90.00
_cell_angle_beta 90.00
_cell_angle_gamma 90.00
loop_
_atom_site_label
_atom_site_type_symbol
_atom_site_fract_x
_atom_site_fract_y
_atom_site_fract_z
_atom_site_occupancy
Na1 Na 0.000 0.000 0.000 1
Pm1 Pm 0.000 0.000 0.500 1
Pd1 Pd 0.250 0.250 0.750 1
Pt1 Pt 0.250 0.250 0.250 1
```

***

[2]
The following is a DFT calculation (PBE-GGA) of a relaxed structure of ZnGe3H.

The calculation puts the polymorph energy (0 for the lowest one) at 3.09 eV/f.u.

CIF file:
```
data_ZnGe3H
_symmetry_space_group_name_H-M 'P m -3 m'
_symmetry_Int_Tables_number 221
_symmetry_space_group_name_Hall '-P 4 2 3'
_cell_length_a 4.839
_cell_length_b 4.839
_cell_length_c 4.839
_cell_angle_alpha 90.00
_cell_angle_beta 90.00
_cell_angle_gamma 90.00
loop_
_atom_site_label
_atom_site_type_symbol
_atom_site_fract_x
_atom_site_fract_y
_atom_site_fract_z
_atom_site_occupancy
Zn1 Zn 0.000 0.000 0.000 1
Ge1 Ge 0.000 0.000 0.500 1
H1 H 0.500 0.500 0.500 1
```

***

[3]
The following is a DFT calculation (PBE-GGA) of a relaxed structure of ZrRu2Pt.

The formation enthalpy at 0 K comes out at -0.248 eV/atom.

CIF file:
```
data_ZrRu2Pt
_symmetry_space_group_name_H-M 'C 1 2/m 1'
_symmetry_Int_Tables_number 12
_cell_length_a 9.196
_cell_length_b 2.918
_cell_length_c 4.933
_cell_angle_alpha 90.00
_cell_angle_beta 101.28
_cell_angle_gamma 90.00
loop_
_symmetry_equiv_pos_as_xyz
'x,y,z'
'-x,-y,-z'
'-x,y,-z'
'x,-y,z'
'x+1/2,y+1/2,z'
'-x+1/2,-y+1/2,-z'
'-x+1/2,y+1/2,-z'
'x+1/2,-y+1/2,z'
loop_
_atom_site_label
_atom_site_type_symbol
_atom_site_fract_x
_atom_site_fract_y
_atom_site_fract_z
_atom_site_occupancy
Zr1 Zr 0.000 0.000 0.000 1
Ru1 Ru 0.247 0.000 0.725 1
Pt1 Pt 0.000 0.500 0.500 1
```

***

[4]
The following is a DFT calculation (PBE-GGA) of a relaxed structure of Ac3HfS6.

The energy relative to the elements, uncorrected comes out at -1977 meV per atom.

CIF file:
```
data_Ac3HfS6
_symmetry_space_group_name_H-M 'R -3'
_symmetry_Int_Tables_number 148
_symmetry_space_group_name_Hall '-R 3'
_cell_length_a 12.5210
_cell_length_b 12.5210
_cell_length_c 12.3643
_cell_angle_alpha 90.00
_cell_angle_beta 90.00
_cell_angle_gamma 120.00
loop_
_atom_site_label
_atom_site_type_symbol
_atom_site_fract_x
_atom_site_fract_y
_atom_site_fract_z
_atom_site_occupancy
Ac1 Ac 0.0486 0.7704 0.1612 1
Hf1 Hf 0.0000 0.0000 0.0000 1
Hf2 Hf 0.0000 0.0000 0.5000 1
S1 S 0.0316 0.8336 0.9013 1
S2 S 0.0491 0.8564 0.3884 1
```

***

[5]
The following is a DFT calculation (PBE-GGA) of a relaxed structure of YLuZnIn.

The formation enthalpy at 0 K comes out at -0.391 eV/atom.

CIF file:
```
data_YLuZnIn
_symmetry_space_group_name_H-M 'F -4 3 m'
_symmetry_Int_Tables_number 216
_symmetry_space_group_name_Hall 'F -4 2 3'
_cell_length_a 7.284
_cell_length_b 7.284
_cell_length_c 7.284
_cell_angle_alpha 90.00
_cell_angle_beta 90.00
_cell_angle_gamma 90.00
loop_
_atom_site_label
_atom_site_type_symbol
_atom_site_fract_x
_atom_site_fract_y
_atom_site_fract_z
_atom_site_occupancy
Y1 Y 0.000 0.000 0.000 1
Lu1 Lu 0.000 0.000 0.500 1
Zn1 Zn 0.250 0.250 0.250 1
In1 In 0.250 0.250 0.750 1
```

***

[6]
The following is a DFT calculation (PBE-GGA) of a relaxed structure of TlAg2BiAu.

The formation enthalpy at 0 K comes out at 0.586 eV/atom.

CIF file:
```
data_TlAg2BiAu
_symmetry_space_group_name_H-M 'P 4/m m m'
_symmetry_Int_Tables_number 123
_symmetry_space_group_name_Hall '-P 4 2'
_cell_length_a 5.357
_cell_length_b 5.357
_cell_length_c 6.133
_cell_angle_alpha 90.00
_cell_angle_beta 90.00
_cell_angle_gamma 90.00
loop_
_atom_site_label
_atom_site_type_symbol
_atom_site_fract_x
_atom_site_fract_y
_atom_site_fract_z
_atom_site_occupancy
Tl1 Tl 0.000 0.000 0.000 1
Ag1 Ag 0.000 0.500 0.500 1
Bi1 Bi 0.000 0.000 0.500 1
Au1 Au 0.500 0.500 0.000 1
```

***

no.,DFT total energy (eV/atom)
1,-4.921
2,-2.633
3,-8.533
4,-6.682
5,-4.141
6,-2.459